Tc3Br5 after structural relaxation. Source: Alexandria, functional PBE-GGA.

Calculated values
Formation energy from raw total energies   -17 meV/atom
Electronic total energy   -0.1819 hartree per atom
Calculated density   5.3 g/cm³
Total moment   0.0000 μB per atom
D(E_F)   1.800 states/eV per cell

CIF file:
```
data_Tc3Br5
_cell_length_a 9.396
_cell_length_b 9.816
_cell_length_c 7.227
_cell_angle_alpha 97.93
_cell_angle_beta 74.98
_cell_angle_gamma 136.91
_space_group_name_H-M_alt 'P 1'
_space_group_IT_number 1
_space_group_name_Hall 'P 1'
loop_
_atom_site_label
_atom_site_type_symbol
_atom_site_fract_x
_atom_site_fract_y
_atom_site_fract_z
Br1 Br 0.114 0.846 0.160
Br2 Br 0.957 0.842 0.652
Tc1 Tc 0.701 0.838 0.891
Br3 Br 0.409 0.359 0.700
Br4 Br 0.473 0.846 0.172
Tc2 Tc 0.446 0.644 0.745
Br5 Br 0.313 0.766 0.655
Tc3 Tc 0.887 0.315 0.059
Br6 Br 0.704 0.311 0.392
Br7 Br 0.650 0.300 0.927
Br8 Br 0.595 0.605 0.163
Br9 Br 0.004 0.164 0.186
Br10 Br 0.908 0.174 0.735
Tc4 Tc 0.319 0.133 0.413
Tc5 Tc 0.338 0.230 0.155
Tc6 Tc 0.175 0.627 0.994
```

Tc4Br after structural relaxation. Source: Alexandria, functional PBE-GGA.

Calculated values
Formation energy from raw total energies   707 meV/atom
Energy above the most stable polymorph in this dataset   0 meV per atom
Electronic total energy   -0.2911 hartree per atom
Calculated density   10.1 g/cm³
Total moment   0.0000 μB per atom
D(E_F)   4.288 states/eV per cell

CIF file:
```
data_Tc4Br
_cell_length_a 4.858
_cell_length_b 4.858
_cell_length_c 4.858
_cell_angle_alpha 99.50
_cell_angle_beta 99.50
_cell_angle_gamma 132.07
_space_group_name_H-M_alt 'P 1'
_space_group_IT_number 1
_space_group_name_Hall 'P 1'
loop_
_atom_site_label
_atom_site_type_symbol
_atom_site_fract_x
_atom_site_fract_y
_atom_site_fract_z
Br1 Br 0.000 0.000 0.000
Tc1 Tc 0.432 0.198 0.629
Tc2 Tc 0.802 0.432 0.234
Tc3 Tc 0.198 0.568 0.766
Tc4 Tc 0.568 0.802 0.371
```

TcBr6 after structural relaxation. Source: Alexandria, functional PBE-GGA.

Calculated values
Formation energy from raw total energies   -207 meV/atom
Electronic total energy   -0.1147 hartree per atom
Calculated density   3.6 g/cm³
Total moment   0.2852 μB per atom
D(E_F)   20.500 states/eV per cell

CIF file:
```
data_TcBr6
_cell_length_a 6.941
_cell_length_b 11.204
_cell_length_c 13.631
_cell_angle_alpha 90.00
_cell_angle_beta 90.00
_cell_angle_gamma 90.00
_space_group_name_H-M_alt 'P 1'
_space_group_IT_number 1
_space_group_name_Hall 'P 1'
loop_
_atom_site_label
_atom_site_type_symbol
_atom_site_fract_x
_atom_site_fract_y
_atom_site_fract_z
Br1 Br 0.436 0.750 0.468
Br2 Br 0.518 0.620 0.016
Br3 Br 0.564 0.250 0.532
Br4 Br 0.482 0.380 0.984
Br5 Br 0.812 0.750 0.296
Br6 Br 0.731 0.420 0.220
Br7 Br 0.982 0.620 0.516
Tc1 Tc 0.367 0.750 0.875
Br8 Br 0.936 0.250 0.032
Br9 Br 0.688 0.750 0.796
Br10 Br 0.982 0.880 0.516
Br11 Br 0.188 0.250 0.704
Br12 Br 0.312 0.250 0.204
Br13 Br 0.231 0.580 0.280
Br14 Br 0.231 0.920 0.280
Br15 Br 0.731 0.080 0.220
Br16 Br 0.269 0.920 0.780
Br17 Br 0.482 0.120 0.984
Br18 Br 0.769 0.420 0.720
Br19 Br 0.018 0.380 0.484
Br20 Br 0.269 0.580 0.780
Br21 Br 0.769 0.080 0.720
Tc2 Tc 0.633 0.250 0.125
Br22 Br 0.064 0.750 0.968
Br23 Br 0.018 0.120 0.484
Br24 Br 0.518 0.880 0.016
Tc3 Tc 0.133 0.750 0.375
Tc4 Tc 0.867 0.250 0.625
```

Tc2Br after structural relaxation. Source: Alexandria, functional PBE-GGA.

Calculated values
Formation energy from raw total energies   806 meV/atom
Energy above the most stable polymorph in this dataset   700 meV per atom
Electronic total energy   -0.2448 hartree per atom
Calculated density   9.5 g/cm³
Total moment   0.0000 μB per atom
D(E_F)   4.048 states/eV per cell

CIF file:
```
data_Tc2Br
_cell_length_a 7.076
_cell_length_b 7.076
_cell_length_c 4.652
_cell_angle_alpha 90.00
_cell_angle_beta 90.00
_cell_angle_gamma 155.48
_space_group_name_H-M_alt 'P 1'
_space_group_IT_number 1
_space_group_name_Hall 'P 1'
loop_
_atom_site_label
_atom_site_type_symbol
_atom_site_fract_x
_atom_site_fract_y
_atom_site_fract_z
Tc1 Tc 0.964 0.036 0.750
Tc2 Tc 0.303 0.697 0.750
Tc3 Tc 0.036 0.964 0.250
Tc4 Tc 0.697 0.303 0.250
Br1 Br 0.628 0.372 0.750
Br2 Br 0.372 0.628 0.250
```

TcBr4 after structural relaxation. Source: Alexandria, functional PBE-GGA.

Calculated values
Formation energy from raw total energies   -1 meV/atom
Energy above the most stable polymorph in this dataset   366 meV per atom
Electronic total energy   -0.1254 hartree per atom
Calculated density   4.6 g/cm³
Total moment   0.1212 μB per atom
D(E_F)   2.787 states/eV per cell

CIF file:
```
data_TcBr4
_cell_length_a 7.130
_cell_length_b 7.130
_cell_length_c 7.130
_cell_angle_alpha 92.79
_cell_angle_beta 92.79
_cell_angle_gamma 154.49
_space_group_name_H-M_alt 'P 1'
_space_group_IT_number 1
_space_group_name_Hall 'P 1'
loop_
_atom_site_label
_atom_site_type_symbol
_atom_site_fract_x
_atom_site_fract_y
_atom_site_fract_z
Br1 Br 0.284 0.548 0.833
Br2 Br 0.716 0.452 0.167
Tc1 Tc 0.000 0.000 0.000
Br3 Br 0.452 0.284 0.736
Br4 Br 0.548 0.716 0.264
```

Tc2Br after structural relaxation. Source: Alexandria, functional PBE-GGA.

Calculated values
Formation energy from raw total energies   497 meV/atom
Energy above the most stable polymorph in this dataset   390 meV per atom
Electronic total energy   -0.2562 hartree per atom
Calculated density   9.4 g/cm³
Total moment   0.0000 μB per atom
D(E_F)   2.180 states/eV per cell

CIF file:
```
data_Tc2Br
_cell_length_a 2.956
_cell_length_b 2.956
_cell_length_c 6.423
_cell_angle_alpha 90.00
_cell_angle_beta 90.00
_cell_angle_gamma 120.00
_space_group_name_H-M_alt 'P 1'
_space_group_IT_number 1
_space_group_name_Hall 'P 1'
loop_
_atom_site_label
_atom_site_type_symbol
_atom_site_fract_x
_atom_site_fract_y
_atom_site_fract_z
Br1 Br 0.000 0.000 0.000
Tc1 Tc 0.333 0.667 0.346
Tc2 Tc 0.667 0.333 0.654
```

TcBr4 after structural relaxation. Source: Alexandria, functional PBE-GGA.

Calculated values
Formation energy from raw total energies   173 meV/atom
Energy above the most stable polymorph in this dataset   541 meV per atom
Electronic total energy   -0.1190 hartree per atom
Calculated density   5.2 g/cm³
Total moment   0.3951 μB per atom
D(E_F)   6.246 states/eV per cell

CIF file:
```
data_TcBr4
_cell_length_a 5.111
_cell_length_b 5.111
_cell_length_c 5.111
_cell_angle_alpha 90.00
_cell_angle_beta 90.00
_cell_angle_gamma 90.00
_space_group_name_H-M_alt 'P 1'
_space_group_IT_number 1
_space_group_name_Hall 'P 1'
loop_
_atom_site_label
_atom_site_type_symbol
_atom_site_fract_x
_atom_site_fract_y
_atom_site_fract_z
Br1 Br 0.500 0.000 0.500
Br2 Br 0.000 0.500 0.500
Br3 Br 0.500 0.500 0.000
Br4 Br 0.000 0.000 0.000
Tc1 Tc 0.500 0.500 0.500
```

Tc4Br after structural relaxation. Source: Alexandria, functional PBE-GGA.

Calculated values
Formation energy from raw total energies   1687 meV/atom
Energy above the most stable polymorph in this dataset   981 meV per atom
Electronic total energy   -0.2550 hartree per atom
Calculated density   9.0 g/cm³
Total moment   0.0001 μB per atom
D(E_F)   7.460 states/eV per cell

CIF file:
```
data_Tc4Br
_cell_length_a 4.841
_cell_length_b 4.841
_cell_length_c 4.841
_cell_angle_alpha 109.47
_cell_angle_beta 109.47
_cell_angle_gamma 109.47
_space_group_name_H-M_alt 'P 1'
_space_group_IT_number 1
_space_group_name_Hall 'P 1'
loop_
_atom_site_label
_atom_site_type_symbol
_atom_site_fract_x
_atom_site_fract_y
_atom_site_fract_z
Tc1 Tc 0.000 0.000 0.500
Tc2 Tc 0.500 0.000 0.000
Tc3 Tc 0.000 0.500 0.000
Tc4 Tc 0.500 0.500 0.500
Br1 Br 0.000 0.000 0.000
```

TcBr3 after structural relaxation. Source: Alexandria, functional PBE-GGA.

Calculated values
Formation energy from raw total energies   -211 meV/atom
Energy above the most stable polymorph in this dataset   144 meV per atom
Electronic total energy   -0.1491 hartree per atom
Calculated density   4.4 g/cm³
Total moment   0.5786 μB per atom
D(E_F)   1.810 states/eV per cell

CIF file:
```
data_TcBr3
_cell_length_a 3.653
_cell_length_b 7.303
_cell_length_c 7.304
_cell_angle_alpha 41.29
_cell_angle_beta 90.00
_cell_angle_gamma 90.00
_space_group_name_H-M_alt 'P 1'
_space_group_IT_number 1
_space_group_name_Hall 'P 1'
loop_
_atom_site_label
_atom_site_type_symbol
_atom_site_fract_x
_atom_site_fract_y
_atom_site_fract_z
Tc1 Tc 0.500 0.250 0.250
Br1 Br 0.500 0.750 0.750
Br2 Br 0.000 0.381 0.381
Br3 Br 0.000 0.119 0.119
```

Tc5Br after structural relaxation. Source: Alexandria, functional PBE-GGA.

Calculated values
Formation energy from raw total energies   433 meV/atom
Energy above the most stable polymorph in this dataset   49 meV per atom
Electronic total energy   -0.3118 hartree per atom
Calculated density   10.3 g/cm³
Total moment   0.0000 μB per atom
D(E_F)   5.857 states/eV per cell

CIF file:
```
data_Tc5Br
_cell_length_a 5.320
_cell_length_b 5.320
_cell_length_c 6.556
_cell_angle_alpha 72.59
_cell_angle_beta 72.59
_cell_angle_gamma 31.44
_space_group_name_H-M_alt 'P 1'
_space_group_IT_number 1
_space_group_name_Hall 'P 1'
loop_
_atom_site_label
_atom_site_type_symbol
_atom_site_fract_x
_atom_site_fract_y
_atom_site_fract_z
Tc1 Tc 0.349 0.349 0.341
Tc2 Tc 0.948 0.948 0.627
Br1 Br 0.986 0.986 0.999
Tc3 Tc 0.677 0.677 0.641
Tc4 Tc 0.245 0.245 0.933
Tc5 Tc 0.628 0.628 0.292
```

Tc2Br after structural relaxation. Source: Alexandria, functional PBE-GGA.

Calculated values
Formation energy from raw total energies   1085 meV/atom
Energy above the most stable polymorph in this dataset   979 meV per atom
Electronic total energy   -0.2346 hartree per atom
Calculated density   8.2 g/cm³
Total moment   0.0001 μB per atom
D(E_F)   10.708 states/eV per cell

CIF file:
```
data_Tc2Br
_cell_length_a 5.779
_cell_length_b 5.779
_cell_length_c 7.681
_cell_angle_alpha 90.00
_cell_angle_beta 90.00
_cell_angle_gamma 120.00
_space_group_name_H-M_alt 'P 1'
_space_group_IT_number 1
_space_group_name_Hall 'P 1'
loop_
_atom_site_label
_atom_site_type_symbol
_atom_site_fract_x
_atom_site_fract_y
_atom_site_fract_z
Tc1 Tc 0.832 0.664 0.250
Tc2 Tc 0.000 0.000 0.500
Tc3 Tc 0.336 0.168 0.250
Tc4 Tc 0.664 0.832 0.750
Br1 Br 0.667 0.333 0.510
Tc5 Tc 0.168 0.336 0.750
Br2 Br 0.333 0.667 0.010
Br3 Br 0.333 0.667 0.490
Tc6 Tc 0.000 0.000 0.000
Tc7 Tc 0.168 0.832 0.750
Tc8 Tc 0.832 0.168 0.250
Br4 Br 0.667 0.333 0.990
```

TcBr4 after structural relaxation. Source: Alexandria, functional PBE-GGA.

Calculated values
Formation energy from raw total energies   -182 meV/atom
Energy above the most stable polymorph in this dataset   186 meV per atom
Electronic total energy   -0.1320 hartree per atom
Calculated density   3.2 g/cm³
Total moment   0.2000 μB per atom
D(E_F)   11.796 states/eV per cell

CIF file:
```
data_TcBr4
_cell_length_a 6.234
_cell_length_b 7.133
_cell_length_c 11.308
_cell_angle_alpha 81.21
_cell_angle_beta 74.00
_cell_angle_gamma 64.09
_space_group_name_H-M_alt 'P 1'
_space_group_IT_number 1
_space_group_name_Hall 'P 1'
loop_
_atom_site_label
_atom_site_type_symbol
_atom_site_fract_x
_atom_site_fract_y
_atom_site_fract_z
Tc1 Tc 0.182 0.250 0.750
Br1 Br 0.918 0.815 0.421
Br2 Br 0.723 0.458 0.296
Tc2 Tc 0.818 0.750 0.250
Br3 Br 0.523 0.958 0.796
Br4 Br 0.477 0.042 0.204
Br5 Br 0.846 0.315 0.921
Br6 Br 0.082 0.185 0.579
Br7 Br 0.154 0.685 0.079
Br8 Br 0.277 0.542 0.704
```